A geometry-optimized Ac4TeSe3 structure, computed with PBE. Values from VASP.

Calculated values
- Energy relative to the lowest polymorph listed for this composition: 0.0000 eV/atom
- Raw formation energy: -1749.0 meV/atom

Quantum ESPRESSO input file:
```
&SYSTEM
  ibrav = 0, nat = 8, ntyp = 3
/
ATOMIC_SPECIES
Ac 227.00 Ac.upf
Te 127.60 Te.upf
Se 78.96 Se.upf
CELL_PARAMETERS angstrom
4.5003 0.0000 0.0000
0.0000 6.4274 0.0000
0.0000 0.0000 9.1383
ATOMIC_POSITIONS angstrom
Ac 0.0000 0.0000 0.0000
Ac 0.0000 0.0000 4.5692
Ac 2.2502 3.2137 2.1523
Ac 2.2502 3.2137 6.9860
Te 0.0000 3.2137 4.5692
Se 0.0000 3.2137 0.0000
Se 2.2502 0.0000 2.2736
Se 2.2502 0.0000 6.8647
```

A geometry-optimized FePtRh structure, computed with PBE. Values from VASP.

Calculated values
- Energy relative to the lowest polymorph listed for this composition: 0.0000 eV/atom
- E_form: -120 meV per atom

Quantum ESPRESSO input file:
```
&SYSTEM
  ibrav = 0, nat = 6, ntyp = 3
/
ATOMIC_SPECIES
Fe 55.84 Fe.upf
Pt 195.08 Pt.upf
Rh 102.91 Rh.upf
CELL_PARAMETERS angstrom
1.8768 -5.8284 0.0000
1.8768 5.8284 0.0000
0.0000 0.0000 3.8988
ATOMIC_POSITIONS angstrom
Fe 1.8768 4.8642 2.9241
Fe 1.8768 -4.8642 0.9747
Pt 1.8768 2.8811 0.9747
Pt 1.8768 -2.8811 2.9241
Rh 1.8768 0.9166 2.9241
Rh 1.8768 -0.9166 0.9747
```

A geometry-optimized KRbH2 structure, computed with PBE. Values from VASP.

Calculated values
- Energy relative to the lowest polymorph listed for this composition: 0.0233 eV/atom

Quantum ESPRESSO input file:
```
&SYSTEM
  ibrav = 0, nat = 4, ntyp = 3
/
ATOMIC_SPECIES
K 39.10 K.upf
Rb 85.47 Rb.upf
H 1.01 H.upf
CELL_PARAMETERS angstrom
2.0052 1.1577 6.9873
-2.0052 1.1577 6.9873
0.0000 -2.3154 6.9873
ATOMIC_POSITIONS angstrom
K 0.0000 0.0000 0.0000
Rb 0.0000 0.0000 17.3977
H 0.0000 0.0000 8.6153
H 0.0000 0.0000 12.2876
```

A geometry-optimized Tl2SnGePd structure, computed with PBE. Values from VASP.

Calculated values
- E_form: 825 meV per atom

Quantum ESPRESSO input file:
```
&SYSTEM
  ibrav = 0, nat = 5, ntyp = 4
/
ATOMIC_SPECIES
Tl 204.38 Tl.upf
Sn 118.71 Sn.upf
Ge 72.64 Ge.upf
Pd 106.42 Pd.upf
CELL_PARAMETERS angstrom
5.7339 0.0000 0.0000
0.0000 5.7339 0.0000
0.0000 0.0000 5.2165
ATOMIC_POSITIONS angstrom
Tl 0.0000 2.8669 0.0000
Tl 2.8669 0.0000 0.0000
Sn 0.0000 0.0000 0.0000
Ge 0.0000 0.0000 2.6082
Pd 2.8669 2.8669 2.6082
```

Number 1: V 264 Å³ per cell, VASP energy -5.503 eV/atom. Number 2: V 85 Å³ per cell, VASP energy -7.405 eV/atom. Number 3: V 97 Å³ per cell, VASP energy -2.358 eV/atom. Number 4: V 172 Å³ per cell, VASP energy -2.884 eV/atom.